{
  "formula": "La2Be4ZnSi3",
  "functional": "GGA-PBE",
  "state": "relaxed",
  "lattice_angstrom": [[4.043, 0.000, 0.000], [0.000, 4.043, 0.000], [0.000, 0.000, 9.767]],
  "species": ["La", "La", "Be", "Be", "Be", "Be", "Zn", "Si", "Si", "Si"],
  "frac_coords": [[0.000, 0.500, 0.245], [0.500, 0.000, 0.755], [0.000, 0.000, 0.000], [0.000, 0.500, 0.632], [0.500, 0.000, 0.368], [0.500, 0.500, 0.000], [0.000, 0.000, 0.500], [0.000, 0.500, 0.872], [0.500, 0.000, 0.128], [0.500, 0.500, 0.500]],
  "dos_at_fermi_per_ev_fu": 2.2,
  "total_magnetization_mub_per_atom": 0.00,
  "energy_ev_per_cell": -46.2,
  "formation_energy_uncorrected_ev_per_atom": -0.39
}